# LiVF3 PBE with a Hubbard U relaxed
data_LiVF3
_chemical_formula_sum 'Li2 V2 F6'
_space_group_name_H-M_alt 'P 1'
_space_group_IT_number 1
_cell_length_a 5.8382
_cell_length_b 5.8382
_cell_length_c 5.8794
_cell_angle_alpha 90.00
_cell_angle_beta 90.00
_cell_angle_gamma 120.00
loop_
_space_group_symop_operation_xyz
'x,y,z'
loop_
_atom_site_label
_atom_site_fract_x
_atom_site_fract_y
_atom_site_fract_z
Li1 0.3333 0.6667 0.2500
Li2 0.6667 0.3333 0.7500
V1 0.0000 0.0000 0.0000
V2 0.0000 0.0000 0.5000
F1 0.1529 0.3059 0.2500
F2 0.1529 0.8471 0.2500
F3 0.3059 0.1529 0.7500
F4 0.6941 0.8471 0.2500
F5 0.8471 0.1529 0.7500
F6 0.8471 0.6941 0.7500
# Calculated density: 2.20 g/cm³
# Space-group type: No. 194
# E_tot: -56.9 eV/cell

# LiVF3 PBE with a Hubbard U relaxed
data_LiVF3
_chemical_formula_sum 'Li2 V2 F6'
_space_group_name_H-M_alt 'P 1'
_space_group_IT_number 1
_cell_length_a 5.6947
_cell_length_b 5.6947
_cell_length_c 5.6947
_cell_angle_alpha 55.20
_cell_angle_beta 55.20
_cell_angle_gamma 55.20
loop_
_space_group_symop_operation_xyz
'x,y,z'
loop_
_atom_site_label
_atom_site_fract_x
_atom_site_fract_y
_atom_site_fract_z
Li1 0.0000 0.0000 0.0000
Li2 0.5000 0.5000 0.5000
V1 0.2918 0.2918 0.2918
V2 0.7918 0.7918 0.7918
F1 0.0732 0.3802 0.6987
F2 0.1987 0.8802 0.5732
F3 0.3802 0.6987 0.0732
F4 0.5732 0.1987 0.8802
F5 0.6987 0.0732 0.3802
F6 0.8802 0.5732 0.1987
# Calculated density: 3.29 g/cm³
# Space-group type: No. 161
# E_tot: -57.6 eV/cell

# Li4VF8 PBE with a Hubbard U relaxed
data_Li4VF8
_chemical_formula_sum 'Li16 V4 F32'
_space_group_name_H-M_alt 'P 1'
_space_group_IT_number 1
_cell_length_a 9.4693
_cell_length_b 9.4382
_cell_length_c 5.6573
_cell_angle_alpha 90.00
_cell_angle_beta 90.00
_cell_angle_gamma 90.00
loop_
_space_group_symop_operation_xyz
'x,y,z'
loop_
_atom_site_label
_atom_site_fract_x
_atom_site_fract_y
_atom_site_fract_z
Li1 0.1076 0.0801 0.1287
Li2 0.1076 0.4199 0.1287
Li3 0.1313 0.0629 0.6182
Li4 0.1313 0.4371 0.6182
Li5 0.3687 0.5629 0.1182
Li6 0.3687 0.9371 0.1182
Li7 0.3924 0.5801 0.6287
Li8 0.3924 0.9199 0.6287
Li9 0.6076 0.0801 0.3713
Li10 0.6076 0.4199 0.3713
Li11 0.6313 0.0629 0.8818
Li12 0.6313 0.4371 0.8818
Li13 0.8687 0.5629 0.3818
Li14 0.8687 0.9371 0.3818
Li15 0.8924 0.5801 0.8713
Li16 0.8924 0.9199 0.8713
V1 0.1329 0.7500 0.3732
V2 0.3671 0.2500 0.8732
V3 0.6329 0.7500 0.1268
V4 0.8671 0.2500 0.6268
F1 0.0221 0.6203 0.1571
F2 0.0221 0.8797 0.1571
F3 0.0249 0.6253 0.5934
F4 0.0249 0.8747 0.5934
F5 0.2273 0.2500 0.1211
F6 0.2343 0.2500 0.6200
F7 0.2350 0.5392 0.3744
F8 0.2350 0.9608 0.3744
F9 0.2650 0.0392 0.8744
F10 0.2650 0.4608 0.8744
F11 0.2657 0.7500 0.1200
F12 0.2727 0.7500 0.6211
F13 0.4751 0.1253 0.0934
F14 0.4751 0.3747 0.0934
F15 0.4779 0.1203 0.6571
F16 0.4779 0.3797 0.6571
F17 0.5221 0.6203 0.3429
F18 0.5221 0.8797 0.3429
F19 0.5249 0.6253 0.9066
F20 0.5249 0.8747 0.9066
F21 0.7273 0.2500 0.3789
F22 0.7343 0.2500 0.8800
F23 0.7350 0.5392 0.1256
F24 0.7350 0.9608 0.1256
F25 0.7650 0.0392 0.6256
F26 0.7650 0.4608 0.6256
F27 0.7657 0.7500 0.3800
F28 0.7727 0.7500 0.8789
F29 0.9751 0.1253 0.4066
F30 0.9751 0.3747 0.4066
F31 0.9779 0.1203 0.8429
F32 0.9779 0.3797 0.8429
# Calculated density: 3.03 g/cm³
# Space-group type: No. 62
# E_tot: -266.0 eV/cell

# Li3VF PBE with a Hubbard U relaxed
data_Li3VF
_chemical_formula_sum 'Li3 V1 F1'
_space_group_name_H-M_alt 'P 1'
_space_group_IT_number 1
_cell_length_a 5.1155
_cell_length_b 5.1155
_cell_length_c 5.1155
_cell_angle_alpha 90.00
_cell_angle_beta 90.00
_cell_angle_gamma 90.00
loop_
_space_group_symop_operation_xyz
'x,y,z'
loop_
_atom_site_label
_atom_site_fract_x
_atom_site_fract_y
_atom_site_fract_z
Li1 0.0000 0.0000 0.5000
Li2 0.0000 0.5000 0.0000
Li3 0.5000 0.0000 0.0000
V1 0.0000 0.0000 0.0000
F1 0.5000 0.5000 0.5000
# Calculated density: 1.13 g/cm³
# Space-group type: No. 221
# E_tot: -12.4 eV/cell

# LiVF5 PBE with a Hubbard U relaxed
data_LiVF5
_chemical_formula_sum 'Li2 V2 F10'
_space_group_name_H-M_alt 'P 1'
_space_group_IT_number 1
_cell_length_a 5.2706
_cell_length_b 5.2706
_cell_length_c 6.5549
_cell_angle_alpha 105.91
_cell_angle_beta 105.91
_cell_angle_gamma 79.63
loop_
_space_group_symop_operation_xyz
'x,y,z'
loop_
_atom_site_label
_atom_site_fract_x
_atom_site_fract_y
_atom_site_fract_z
Li1 0.0000 0.0000 0.0000
Li2 0.0000 0.0000 0.5000
V1 0.4349 0.5651 0.7500
V2 0.5651 0.4349 0.2500
F1 0.1602 0.8398 0.7500
F2 0.2063 0.3045 0.6464
F3 0.3045 0.2063 0.1464
F4 0.3331 0.6529 0.0573
F5 0.3471 0.6669 0.4427
F6 0.6529 0.3331 0.5573
F7 0.6669 0.3471 0.9427
F8 0.6955 0.7937 0.8536
F9 0.7937 0.6955 0.3536
F10 0.8398 0.1602 0.2500
# Calculated density: 3.03 g/cm³
# Space-group type: No. 15
# E_tot: -75.6 eV/cell

# Li4V2F9 PBE with a Hubbard U relaxed
data_Li4V2F9
_chemical_formula_sum 'Li8 V4 F18'
_space_group_name_H-M_alt 'P 1'
_space_group_IT_number 1
_cell_length_a 5.1620
_cell_length_b 5.1620
_cell_length_c 13.9440
_cell_angle_alpha 90.00
_cell_angle_beta 90.00
_cell_angle_gamma 120.00
loop_
_space_group_symop_operation_xyz
'x,y,z'
loop_
_atom_site_label
_atom_site_fract_x
_atom_site_fract_y
_atom_site_fract_z
Li1 0.3333 0.6667 0.1767
Li2 0.3333 0.6667 0.4822
Li3 0.3333 0.6667 0.6767
Li4 0.3333 0.6667 0.9822
Li5 0.6667 0.3333 0.0178
Li6 0.6667 0.3333 0.3233
Li7 0.6667 0.3333 0.5178
Li8 0.6667 0.3333 0.8233
V1 0.0000 0.0000 0.1519
V2 0.0000 0.0000 0.3481
V3 0.0000 0.0000 0.6519
V4 0.0000 0.0000 0.8481
F1 0.0000 0.3106 0.2500
F2 0.0000 0.6894 0.7500
F3 0.0239 0.3525 0.5843
F4 0.0239 0.6714 0.0843
F5 0.3106 0.0000 0.2500
F6 0.3106 0.3106 0.7500
F7 0.3286 0.3525 0.0843
F8 0.3286 0.9761 0.5843
F9 0.3525 0.0239 0.9157
F10 0.3525 0.3286 0.4157
F11 0.6475 0.6714 0.5843
F12 0.6475 0.9761 0.0843
F13 0.6714 0.0239 0.4157
F14 0.6714 0.6475 0.9157
F15 0.6894 0.0000 0.7500
F16 0.6894 0.6894 0.2500
F17 0.9761 0.3286 0.9157
F18 0.9761 0.6475 0.4157
# Calculated density: 3.10 g/cm³
# Space-group type: No. 165
# E_tot: -164.5 eV/cell

# Li2V2F7 PBE with a Hubbard U relaxed
data_Li2V2F7
_chemical_formula_sum 'Li4 V4 F14'
_space_group_name_H-M_alt 'P 1'
_space_group_IT_number 1
_cell_length_a 5.2891
_cell_length_b 5.2891
_cell_length_c 10.3662
_cell_angle_alpha 90.09
_cell_angle_beta 90.09
_cell_angle_gamma 85.88
loop_
_space_group_symop_operation_xyz
'x,y,z'
loop_
_atom_site_label
_atom_site_fract_x
_atom_site_fract_y
_atom_site_fract_z
Li1 0.0234 0.8084 0.8620
Li2 0.1916 0.9766 0.6380
Li3 0.8084 0.0234 0.3620
Li4 0.9766 0.1916 0.1380
V1 0.2481 0.4819 0.4132
V2 0.4819 0.2481 0.9132
V3 0.5181 0.7519 0.0868
V4 0.7519 0.5181 0.5868
F1 0.0757 0.2276 0.3109
F2 0.0936 0.3004 0.5672
F3 0.2276 0.0757 0.8109
F4 0.2763 0.5924 0.9549
F5 0.3004 0.0936 0.0672
F6 0.3588 0.6412 0.2500
F7 0.4076 0.7237 0.5451
F8 0.5924 0.2763 0.4549
F9 0.6412 0.3588 0.7500
F10 0.6996 0.9064 0.9328
F11 0.7237 0.4076 0.0451
F12 0.7724 0.9243 0.1891
F13 0.9064 0.6996 0.4328
F14 0.9243 0.7724 0.6891
# Calculated density: 2.86 g/cm³
# Space-group type: No. 15
# E_tot: -125.8 eV/cell

# Li2V2F7 PBE with a Hubbard U relaxed
data_Li2V2F7
_chemical_formula_sum 'Li4 V4 F14'
_space_group_name_H-M_alt 'P 1'
_space_group_IT_number 1
_cell_length_a 5.5053
_cell_length_b 6.8257
_cell_length_c 8.6844
_cell_angle_alpha 70.93
_cell_angle_beta 74.62
_cell_angle_gamma 83.52
loop_
_space_group_symop_operation_xyz
'x,y,z'
loop_
_atom_site_label
_atom_site_fract_x
_atom_site_fract_y
_atom_site_fract_z
Li1 0.1261 0.0276 0.2440
Li2 0.3440 0.7637 0.9039
Li3 0.6560 0.2363 0.0961
Li4 0.8739 0.9724 0.7560
V1 0.1858 0.4834 0.3282
V2 0.2929 0.2799 0.8144
V3 0.7071 0.7201 0.1856
V4 0.8142 0.5166 0.6718
F1 0.0860 0.2125 0.3723
F2 0.0967 0.6140 0.1127
F3 0.1701 0.0052 0.8136
F4 0.1854 0.4243 0.5732
F5 0.3155 0.7593 0.2964
F6 0.3593 0.1841 0.0501
F7 0.4523 0.5726 0.7739
F8 0.5477 0.4274 0.2261
F9 0.6407 0.8159 0.9499
F10 0.6845 0.2407 0.7036
F11 0.8146 0.5757 0.4268
F12 0.8299 0.9948 0.1864
F13 0.9033 0.3860 0.8873
F14 0.9140 0.7875 0.6277
# Calculated density: 2.78 g/cm³
# Space-group type: No. 2
# E_tot: -125.6 eV/cell